No. 1
A relaxed MgUTl2O8 crystal, computed with GGA-PBE.

a = 5.1297 Å, b = 5.1169 Å, c = 6.6171 Å
α = 90.00°, β = 90.00°, γ = 91.19°
With the nearest neighbours (Å) after each atom.
Atoms (fractional coordinates):
Mg 0.0000 0.0000 0.5000  6 O 2.10-2.17
U 0.0000 0.0000 0.0000  6 O 2.02-2.16
Tl 0.5000 0.5000 0.7432  6 O 2.19-2.38
Tl 0.5000 0.5000 0.2568  6 O 2.19-2.38
O 0.1736 0.8240 0.2360  1 U 2.02, 1 Mg 2.17
O 0.6978 0.7001 0.0000  1 U 2.16, 2 Tl 2.22
O 0.8264 0.1760 0.2359  1 U 2.02, 1 Mg 2.17
O 0.8264 0.1760 0.7640  1 U 2.02, 1 Mg 2.17
O 0.3022 0.2999 0.0000  1 U 2.16, 2 Tl 2.22
O 0.1736 0.8240 0.7641  1 U 2.02, 1 Mg 2.17
O 0.7054 0.7084 0.5000  1 Mg 2.10, 2 Tl 2.19
O 0.2946 0.2916 0.5000  1 Mg 2.10, 2 Tl 2.19

Symmetry: P2/m, No. 10
D(E_F) in states/eV/f.u.: 10.1
Uncorrected energy in eV per atom: -6.33

No. 2
A relaxed FeAu2I crystal, computed with GGA-PBE.

a = 8.1191 Å, b = 8.1191 Å, c = 6.3351 Å
α = 50.15°, β = 50.15°, γ = 90.00°
With the nearest neighbours (Å) after each atom.
Atoms (fractional coordinates):
I 0.0000 0.0000 0.0000  2 Fe 2.68
I 0.7500 0.2500 0.5000  2 Fe 2.68
Au 0.5758 0.1250 0.2500  2 Fe 2.69, 2 Au 2.79
Au 0.1742 0.6250 0.2500  2 Fe 2.69, 2 Au 2.79
Au 0.3750 0.4242 0.7500  2 Fe 2.69, 2 Au 2.79
Au 0.8750 0.8258 0.7500  2 Fe 2.69, 2 Au 2.79
Fe 0.5000 0.5000 0.0000  2 I 2.68, 4 Au 2.69
Fe 0.2500 0.7500 0.5000  2 I 2.68, 4 Au 2.69

Symmetry: I-42d, No. 122
D(E_F) in states/eV/f.u.: 5.4
E above lowest polymorph in meV per atom: 0.0

No. 3
A relaxed MgCo2Pb crystal, computed with GGA-PBE.

a = 4.0848 Å, b = 3.3374 Å, c = 5.2750 Å
α = 71.67°, β = 90.00°, γ = 90.00°
With the nearest neighbours (Å) after each atom.
Atoms (fractional coordinates):
Co 0.0000 0.1764 0.0216  2 Co 2.33
Co 0.5000 0.0647 0.2444  2 Co 2.33
Mg 0.0000 0.4703 0.4353  7 Co 2.66-2.94
Pb 0.5000 0.7886 0.7986  7 Co 2.78-2.87

Symmetry: Pm, No. 6
D(E_F) in states/eV/f.u.: 3.8
Uncorrected energy in eV per atom: -4.61

No. 4
A relaxed Cu2Ir crystal, computed with GGA-PBE.

a = 5.7843 Å, b = 5.7843 Å, c = 5.7843 Å
α = 153.34°, β = 153.34°, γ = 38.06°
With the nearest neighbours (Å) after each atom.
Atoms (fractional coordinates):
Cu 0.0038 0.0038 0.0000  8 Cu 2.57-2.67, 4 Ir 2.65
Cu 0.6629 0.6629 0.0000  8 Cu 2.57-2.67, 4 Ir 2.65
Ir 0.3333 0.3333 0.0000  8 Cu 2.65, 4 Ir 2.67

Symmetry: I4/mmm, No. 139
D(E_F) in states/eV/f.u.: 2.9
E above lowest polymorph in meV per atom: 87.9

no.,total magnetic moment (μB/atom)
1,0.092
2,0.784
3,0.657
4,0.000